Below is MnFeRu2 after structural relaxation, with properties calculated at the GGA-PBE level.

Lattice parameters (Å, degrees): 4.5329 4.5329 4.4955 80.58 80.58 33.90
Each line ends with the local moment (μB).
Positions (direct):
Fe1 0.4994 0.4994 0.5012  1.60
Ru1 0.7505 0.7505 0.7391  -0.14
Ru2 0.9998 0.9998 0.0084  -0.18
Mn1 0.2503 0.2503 0.2513  1.74

- DOS(E_F) (states/eV per atom) = 1.26
- total DFT energy (no corrections) (eV/cell) = -35.7
- energy relative to the elements (eV/atom) = 0.132
- M_tot (μB per formula unit) = 3.079